(1)
VASP calculation (GGA-PBE) on a relaxed structure of BaSrLi2.

Output
Energy of formation from the pure elements: 38.1 meV/atom
Density: 2.45 g cm⁻³
Space-group type: P4/mmm (123)
ΔE to the lowest computed polymorph: 0.02 eV per formula unit
Volume: 162 Å³/cell

Unit cell a=4.349 b=4.349 c=8.566 alpha=90.00 beta=90.00 gamma=90.00
Fractional coordinates of all 4 atoms:
Ba 0.000 0.000 0.000
Sr 0.000 0.000 0.500
Li 0.500 0.500 0.268
Li 0.500 0.500 0.732

---

(2)
VASP calculation (GGA-PBE) on a relaxed structure of Ba2Sr8Li.

Output
Energy of formation from the pure elements: 37.2 meV/atom
Density: 2.75 g cm⁻³
Space-group type: C2/m (12)
ΔE to the lowest computed polymorph: 0.00 eV per formula unit
Volume: 593 Å³/cell

Unit cell a=11.238 b=11.238 c=9.611 alpha=105.72 beta=105.72 gamma=30.61
Fractional coordinates of all 11 atoms:
Ba 0.224 0.224 0.136
Ba 0.776 0.776 0.864
Sr 0.043 0.043 0.226
Sr 0.128 0.128 0.665
Sr 0.322 0.322 0.593
Sr 0.414 0.414 0.062
Sr 0.586 0.586 0.938
Sr 0.678 0.678 0.407
Sr 0.872 0.872 0.335
Sr 0.957 0.957 0.774
Li 0.500 0.500 0.500

---

- Look up the energy of formation from the pure elements of the first one.
  38.1 meV/atom

---

- ΔE to the lowest computed polymorph of number 2 (Ba2Sr8Li)?
  0.00 eV per formula unit

---

- Which of these has the lowest volume?
  BaSrLi2